Entry 1:
# Cs2CuBi (GGA-PBE, optimized geometry)
# Spin magnetization ... 0.00 μB/f.u.
# DFT total energy ... -2.4939 eV/atom
# Energy of formation ... -0.0729 eV per atom
data_Cs2CuBi
_space_group_name_H-M_alt 'P 1'
_space_group_IT_number 1
_cell_length_a 13.912
_cell_length_b 13.912
_cell_length_c 5.020
_cell_angle_alpha 90.00
_cell_angle_beta 90.00
_cell_angle_gamma 90.00
loop_
_space_group_symop_operation_xyz
'x,y,z'
loop_
_atom_site_label
_atom_site_type_symbol
_atom_site_fract_x
_atom_site_fract_y
_atom_site_fract_z
Cs1 Cs 0.049 0.250 0.125
Cs2 Cs 0.250 0.549 0.375
Cs3 Cs 0.250 0.951 0.875
Cs4 Cs 0.451 0.250 0.625
Cs5 Cs 0.549 0.750 0.625
Cs6 Cs 0.750 0.049 0.875
Cs7 Cs 0.750 0.451 0.375
Cs8 Cs 0.951 0.750 0.125
Cu1 Cu 0.000 0.000 0.000
Cu2 Cu 0.000 0.500 0.250
Cu3 Cu 0.500 0.000 0.750
Cu4 Cu 0.500 0.500 0.500
Bi1 Bi 0.000 0.000 0.500
Bi2 Bi 0.000 0.500 0.750
Bi3 Bi 0.500 0.000 0.250
Bi4 Bi 0.500 0.500 0.000

Entry 2:
# AlTlRe (GGA-PBE, optimized geometry)
# Offset from the most stable computed form ... 376 meV per atom
# Spin magnetization ... 1.05 μB/f.u.
# DFT total energy ... -5.2924 eV/atom
# Energy of formation ... 0.8933 eV per atom
data_AlTlRe
_space_group_name_H-M_alt 'P 1'
_space_group_IT_number 1
_cell_length_a 6.348
_cell_length_b 6.348
_cell_length_c 6.348
_cell_angle_alpha 90.00
_cell_angle_beta 90.00
_cell_angle_gamma 90.00
loop_
_space_group_symop_operation_xyz
'x,y,z'
loop_
_atom_site_label
_atom_site_type_symbol
_atom_site_fract_x
_atom_site_fract_y
_atom_site_fract_z
Al1 Al 0.000 0.000 0.000
Al2 Al 0.000 0.500 0.500
Al3 Al 0.500 0.000 0.500
Al4 Al 0.500 0.500 0.000
Tl1 Tl 0.000 0.000 0.500
Tl2 Tl 0.000 0.500 0.000
Tl3 Tl 0.500 0.000 0.000
Tl4 Tl 0.500 0.500 0.500
Re1 Re 0.250 0.250 0.250
Re2 Re 0.250 0.750 0.750
Re3 Re 0.750 0.250 0.750
Re4 Re 0.750 0.750 0.250

Entry 3:
# Sr3MnB (GGA-PBE, optimized geometry)
# Offset from the most stable computed form ... 0 meV per atom
# Spin magnetization ... 2.73 μB/f.u.
# DFT total energy ... -3.4987 eV/atom
# Energy of formation ... 0.6798 eV per atom
data_Sr3MnB
_space_group_name_H-M_alt 'P 1'
_space_group_IT_number 1
_cell_length_a 5.638
_cell_length_b 5.638
_cell_length_c 5.638
_cell_angle_alpha 90.00
_cell_angle_beta 90.00
_cell_angle_gamma 90.00
loop_
_space_group_symop_operation_xyz
'x,y,z'
loop_
_atom_site_label
_atom_site_type_symbol
_atom_site_fract_x
_atom_site_fract_y
_atom_site_fract_z
Sr1 Sr 0.000 0.000 0.500
Sr2 Sr 0.000 0.500 0.000
Sr3 Sr 0.500 0.000 0.000
Mn1 Mn 0.500 0.500 0.500
B1 B 0.000 0.000 0.000

> The lowest DFT total energy belongs to which entry?

AlTlRe